Record 1
10
Lattice="7.9973 0.0000 0.0000 0.0000 7.9973 0.0000 0.0000 0.0000 2.8262" Properties=species:S:1:pos:R:3 comment="LaRe2Pt2, relaxed, DFT GGA-PBE" delta_e_f_mev_per_atom=-42 de_polymorph_mev_per_atom=57 m_tot_mub_per_cell=0.00 sg="P4/mbm (127)" pbc="T T T"
Re 3.0944 7.0930 0.0000
Re 7.0930 4.9029 0.0000
Re 4.9029 0.9043 0.0000
Re 0.9043 3.0944 0.0000
Pt 1.4588 5.4574 1.4131
Pt 5.4574 6.5386 1.4131
Pt 6.5386 2.5399 1.4131
Pt 2.5399 1.4588 1.4131
La 0.0000 0.0000 0.0000
La 3.9987 3.9987 0.0000

Record 2
4
Lattice="5.0004 0.0000 0.0000 2.5002 4.3305 0.0000 2.5002 1.4435 4.0828" Properties=species:S:1:pos:R:3 comment="YZrAlAg, relaxed, DFT GGA-PBE" delta_e_f_mev_per_atom=-218 m_tot_mub_per_cell=0.82 sg="F-43m (216)" pbc="T T T"
Y 7.5007 4.3305 3.0621
Zr 2.5002 1.4435 1.0207
Ag 0.0000 0.0000 0.0000
Al 5.0004 2.8870 2.0414

Record 3
4
Lattice="-8.8336 -2.8456 1.6778 -8.5847 -3.8047 -0.8779 -7.6999 -5.3026 1.2403" Properties=species:S:1:pos:R:3 comment="NiAg2Os, relaxed, DFT GGA-PBE" delta_e_f_mev_per_atom=487 de_polymorph_mev_per_atom=173 m_tot_mub_per_cell=0.38 sg="R-3m (166)" pbc="T T T"
Ag -25.0115 -11.9021 2.0315
Ag -12.6657 -6.0272 1.0287
Ni -6.2795 -2.9882 0.5100
Os -18.8386 -8.9646 1.5301

Record 4
10
Lattice="-5.4989 0.6594 5.3887 3.4885 -5.4477 4.2264 3.3154 4.3362 2.8526" Properties=species:S:1:pos:R:3 comment="Rb2ZrSb2, relaxed, DFT GGA-PBE" raw_formation_energy_ev_per_atom=-0.1616 m_tot_mub_per_cell=3.52 sg="P4/mbm (127)" pbc="T T T"
Sb 1.0262 -4.4342 5.5476
Sb -2.4710 -2.9367 7.3359
Sb -3.0365 -0.3542 4.0676
Sb 0.4607 -1.8516 2.2792
Rb 3.0668 -1.3541 5.1425
Rb 0.8985 -1.9318 8.5408
Rb -1.7617 0.9019 7.3252
Rb 0.4066 1.4796 3.9269
Zr 0.0000 0.0000 0.0000
Zr -1.0052 -2.3942 4.8076

Record 5
5
Lattice="4.2602 0.0000 0.0000 0.0000 4.2602 0.0000 0.0000 0.0000 4.2070" Properties=species:S:1:pos:R:3 comment="TaNb2TcN, relaxed, DFT GGA-PBE" raw_formation_energy_ev_per_atom=-0.3758 m_tot_mub_per_cell=0.00 sg="P4/mmm (123)" pbc="T T T"
Nb 0.0000 2.1301 0.0000
Nb 2.1301 0.0000 0.0000
N 0.0000 0.0000 0.0000
Tc 2.1301 2.1301 2.1035
Ta 0.0000 0.0000 2.1035

Record 6
5
Lattice="4.0546 0.0000 0.0000 0.0000 4.0546 0.0000 0.0000 0.0000 4.0546" Properties=species:S:1:pos:R:3 comment="BeVRu3, relaxed, DFT GGA-PBE" delta_e_f_mev_per_atom=300 de_polymorph_mev_per_atom=0 m_tot_mub_per_cell=0.00 sg="Pm-3m (221)" pbc="T T T"
Ru 0.0000 2.0273 0.0000
Ru 0.0000 0.0000 2.0273
Ru 2.0273 0.0000 0.0000
V 2.0273 2.0273 2.0273
Be 0.0000 0.0000 0.0000